Entry from Alexandria: a relaxed Pr2Sm3Y3 crystal (GGA-PBE).

Geometry as CIF:
```
data_Pr2Sm3Y3
_chemical_formula_sum 'Pr4 Sm6 Y6'
_space_group_name_H-M_alt 'C 1 2/m 1'
_space_group_IT_number 12
_space_group_name_Hall '-C 2y'
_cell_length_a 24.291
_cell_length_b 3.648
_cell_length_c 6.310
_cell_angle_alpha 90.00
_cell_angle_beta 105.04
_cell_angle_gamma 90.00
loop_
_atom_site_label
_atom_site_type_symbol
_atom_site_fract_x
_atom_site_fract_y
_atom_site_fract_z
_atom_site_occupancy
Pr1 Pr 0.250 0.000 0.250 1
Sm1 Sm 0.000 0.000 0.000 1
Sm2 Sm 0.124 0.000 0.456 1
Y1 Y 0.000 0.500 0.500 1
Y2 Y 0.124 0.500 0.957 1
```

Results
total energy	-5.388	eV/atom
ΔE to the lowest computed polymorph	0.0	kJ per mole of atoms
spin magnetization	0.0000	μB/atom
energy of formation from the pure elements	0.001	eV per atom


Entry from Alexandria: a relaxed Pr6SmY5 crystal (GGA-PBE).

Geometry as CIF:
```
data_Pr6SmY5
_chemical_formula_sum 'Pr12 Sm2 Y10'
_space_group_name_H-M_alt 'I m m m'
_space_group_IT_number 71
_space_group_name_Hall '-I 2 2'
_cell_length_a 5.194
_cell_length_b 10.209
_cell_length_c 15.518
_cell_angle_alpha 90.00
_cell_angle_beta 90.00
_cell_angle_gamma 90.00
loop_
_atom_site_label
_atom_site_type_symbol
_atom_site_fract_x
_atom_site_fract_y
_atom_site_fract_z
_atom_site_occupancy
Pr1 Pr 0.000 0.250 0.000 1
Pr2 Pr 0.000 0.250 0.333 1
Sm1 Sm 0.000 0.000 0.500 1
Y1 Y 0.000 0.000 0.167 1
Y2 Y 0.000 0.500 0.167 1
Y3 Y 0.000 0.500 0.500 1
```

Results
total energy	-5.463	eV/atom
spin magnetization	0.0000	μB/atom
energy of formation from the pure elements	0.013	eV per atom


Entry from Alexandria: a relaxed Pr7Sm4Y crystal (GGA-PBE).

Geometry as CIF:
```
data_Pr7Sm4Y
_chemical_formula_sum 'Pr7 Sm4 Y1'
_space_group_name_H-M_alt 'P -1'
_space_group_IT_number 2
_space_group_name_Hall '-P 1'
_cell_length_a 6.415
_cell_length_b 7.407
_cell_length_c 9.158
_cell_angle_alpha 89.99
_cell_angle_beta 76.50
_cell_angle_gamma 89.99
loop_
_atom_site_label
_atom_site_type_symbol
_atom_site_fract_x
_atom_site_fract_y
_atom_site_fract_z
_atom_site_occupancy
Pr1 Pr 0.000 0.000 0.000 1
Pr2 Pr 0.223 0.500 0.334 1
Pr3 Pr 0.278 0.249 0.668 1
Pr4 Pr 0.499 0.751 0.999 1
Sm1 Sm 0.222 0.000 0.334 1
Sm2 Sm 0.277 0.751 0.669 1
Y1 Y 0.000 0.500 0.000 1
```

Results
total energy	-4.889	eV/atom
ΔE to the lowest computed polymorph	0.0	kJ per mole of atoms
spin magnetization	0.0000	μB/atom
energy of formation from the pure elements	0.010	eV per atom


Entry from Alexandria: a relaxed PrSm4Y2 crystal (GGA-PBE).

Geometry as CIF:
```
data_PrSm4Y2
_chemical_formula_sum 'Pr2 Sm8 Y4'
_space_group_name_H-M_alt 'P 1 21/m 1'
_space_group_IT_number 11
_space_group_name_Hall '-P 2yb'
_cell_length_a 6.254
_cell_length_b 6.645
_cell_length_c 11.688
_cell_angle_alpha 90.00
_cell_angle_beta 104.03
_cell_angle_gamma 90.00
loop_
_atom_site_label
_atom_site_type_symbol
_atom_site_fract_x
_atom_site_fract_y
_atom_site_fract_z
_atom_site_occupancy
Pr1 Pr 0.025 0.250 0.350 1
Sm1 Sm 0.154 0.250 0.652 1
Sm2 Sm 0.296 0.750 0.936 1
Sm3 Sm 0.361 0.505 0.212 1
Y1 Y 0.143 0.250 0.942 1
Y2 Y 0.396 0.750 0.502 1
```

Results
total energy	-5.111	eV/atom
ΔE to the lowest computed polymorph	3.1	kJ per mole of atoms
spin magnetization	0.0000	μB/atom
energy of formation from the pure elements	0.116	eV per atom


Entry from Alexandria: a relaxed PrSm4Y2 crystal (GGA-PBE).

Geometry as CIF:
```
data_PrSm4Y2
_chemical_formula_sum 'Pr2 Sm8 Y4'
_space_group_name_H-M_alt 'I m m m'
_space_group_IT_number 71
_space_group_name_Hall '-I 2 2'
_cell_length_a 3.583
_cell_length_b 5.795
_cell_length_c 23.162
_cell_angle_alpha 90.00
_cell_angle_beta 90.00
_cell_angle_gamma 90.00
loop_
_atom_site_label
_atom_site_type_symbol
_atom_site_fract_x
_atom_site_fract_y
_atom_site_fract_z
_atom_site_occupancy
Pr1 Pr 0.000 0.000 0.000 1
Sm1 Sm 0.000 0.500 0.088 1
Sm2 Sm 0.000 0.500 0.362 1
Y1 Y 0.000 0.000 0.275 1
```

Results
total energy	-5.143	eV/atom
ΔE to the lowest computed polymorph	0.0	kJ per mole of atoms
spin magnetization	0.0000	μB/atom
energy of formation from the pure elements	0.084	eV per atom


Entry from Alexandria: a relaxed Pr7Sm5Y crystal (GGA-PBE).

Geometry as CIF:
```
data_Pr7Sm5Y
_chemical_formula_sum 'Pr14 Sm10 Y2'
_space_group_name_H-M_alt 'I m m 2'
_space_group_IT_number 44
_space_group_name_Hall 'I 2 -2'
_cell_length_a 6.838
_cell_length_b 11.464
_cell_length_c 11.927
_cell_angle_alpha 90.00
_cell_angle_beta 90.00
_cell_angle_gamma 90.00
loop_
_atom_site_label
_atom_site_type_symbol
_atom_site_fract_x
_atom_site_fract_y
_atom_site_fract_z
_atom_site_occupancy
Pr1 Pr 0.000 0.000 0.000 1
Pr2 Pr 0.000 0.000 0.310 1
Pr3 Pr 0.000 0.323 0.753 1
Pr4 Pr 0.000 0.328 0.248 1
Pr5 Pr 0.000 0.500 0.490 1
Sm1 Sm 0.000 0.500 0.989 1
Sm2 Sm 0.228 0.228 0.508 1
Y1 Y 0.000 0.000 0.689 1
```

Results
total energy	-4.671	eV/atom
spin magnetization	0.0000	μB/atom
energy of formation from the pure elements	0.215	eV per atom


Entry from Alexandria: a relaxed Pr3Sm3Y crystal (GGA-PBE).

Geometry as CIF:
```
data_Pr3Sm3Y
_chemical_formula_sum 'Pr6 Sm6 Y2'
_space_group_name_H-M_alt 'P 63/m'
_space_group_IT_number 176
_space_group_name_Hall '-P 6c'
_cell_length_a 9.8078
_cell_length_b 9.8078
_cell_length_c 5.8831
_cell_angle_alpha 90.00
_cell_angle_beta 90.00
_cell_angle_gamma 120.00
loop_
_atom_site_label
_atom_site_type_symbol
_atom_site_fract_x
_atom_site_fract_y
_atom_site_fract_z
_atom_site_occupancy
Pr1 Pr 0.0946 0.4738 0.2500 1
Sm1 Sm 0.0444 0.2365 0.7500 1
Y1 Y 0.3333 0.6667 0.7500 1
```

Results
total energy	-4.969	eV/atom
ΔE to the lowest computed polymorph	0.0	kJ per mole of atoms
spin magnetization	0.0000	μB/atom
energy of formation from the pure elements	0.025	eV per atom


Entry from Alexandria: a relaxed Pr3Sm4Y5 crystal (GGA-PBE).

Geometry as CIF:
```
data_Pr3Sm4Y5
_chemical_formula_sum 'Pr3 Sm4 Y5'
_space_group_name_H-M_alt 'P -1'
_space_group_IT_number 2
_space_group_name_Hall '-P 1'
_cell_length_a 6.279
_cell_length_b 7.250
_cell_length_c 8.879
_cell_angle_alpha 90.00
_cell_angle_beta 89.86
_cell_angle_gamma 89.82
loop_
_atom_site_label
_atom_site_type_symbol
_atom_site_fract_x
_atom_site_fract_y
_atom_site_fract_z
_atom_site_occupancy
Pr1 Pr 0.000 0.000 0.000 1
Pr2 Pr 0.167 0.250 0.333 1
Sm1 Sm 0.168 0.749 0.332 1
Sm2 Sm 0.332 0.500 0.667 1
Y1 Y 0.000 0.500 0.000 1
Y2 Y 0.334 0.000 0.668 1
Y3 Y 0.499 0.750 0.000 1
```

Results
total energy	-5.446	eV/atom
ΔE to the lowest computed polymorph	0.0	kJ per mole of atoms
spin magnetization	0.0000	μB/atom
energy of formation from the pure elements	0.015	eV per atom


Entry from Alexandria: a relaxed Pr2SmY5 crystal (GGA-PBE).

Geometry as CIF:
```
data_Pr2SmY5
_chemical_formula_sum 'Pr8 Sm4 Y20'
_space_group_name_H-M_alt 'C 1 2/c 1'
_space_group_IT_number 15
_space_group_name_Hall '-C 2yc'
_cell_length_a 16.381
_cell_length_b 10.016
_cell_length_c 6.621
_cell_angle_alpha 90.00
_cell_angle_beta 98.70
_cell_angle_gamma 90.00
loop_
_atom_site_label
_atom_site_type_symbol
_atom_site_fract_x
_atom_site_fract_y
_atom_site_fract_z
_atom_site_occupancy
Pr1 Pr 0.079 0.246 0.119 1
Sm1 Sm 0.250 0.250 0.000 1
Y1 Y 0.000 0.439 0.750 1
Y2 Y 0.099 0.088 0.647 1
Y3 Y 0.198 0.412 0.527 1
```

Results
total energy	-5.674	eV/atom
ΔE to the lowest computed polymorph	12.7	kJ per mole of atoms
spin magnetization	0.0000	μB/atom
energy of formation from the pure elements	0.151	eV per atom


Entry from Alexandria: a relaxed Pr6SmY8 crystal (GGA-PBE).

Geometry as CIF:
```
data_Pr6SmY8
_chemical_formula_sum 'Pr18 Sm3 Y24'
_space_group_name_H-M_alt 'R -3'
_space_group_IT_number 148
_space_group_name_Hall '-R 3'
_cell_length_a 9.1830
_cell_length_b 9.1830
_cell_length_c 21.2111
_cell_angle_alpha 90.00
_cell_angle_beta 90.00
_cell_angle_gamma 120.00
loop_
_atom_site_label
_atom_site_type_symbol
_atom_site_fract_x
_atom_site_fract_y
_atom_site_fract_z
_atom_site_occupancy
Pr1 Pr 0.0588 0.8106 0.2108 1
Sm1 Sm 0.0000 0.0000 0.5000 1
Y1 Y 0.0000 0.0000 0.0772 1
Y2 Y 0.0805 0.5195 0.3069 1
```

Results
total energy	-5.558	eV/atom
spin magnetization	0.0000	μB/atom
energy of formation from the pure elements	0.116	eV per atom